No. 1
YSc2AgN: relaxed, GGA-PBE.

Properties
For the raw total energy, the calculation gives -6.908 eV per atom. The uncorrected formation energy comes out at -0.85 eV/atom. The volume is 19.09 A^3/atom. For the spin magnetization, the calculation gives 0.00 μB per cell.

The structure in extended XYZ format:
```
5
Lattice="4.429 0.000 0.000 0.000 4.429 0.000 0.000 0.000 4.866" Properties=species:S:1:pos:R:3 pbc="T T T"
Y 0.000 0.000 0.000
Sc 0.000 2.214 2.433
Sc 2.214 0.000 2.433
Ag 2.214 2.214 0.000
N 0.000 0.000 2.433
```


No. 2
Pr4InOs: relaxed, GGA-PBE.

Properties
For the raw total energy, the calculation gives -5.760 eV per atom. The calculated formation energy is -24 kJ per mole of atoms. The volume is 29.71 A^3/atom. For the spin magnetization, the calculation gives 0.00 μB per cell. The calculation puts the energy relative to the lowest polymorph listed for this composition at 0.00 eV/f.u.

The structure in extended XYZ format:
```
24
Lattice="0.000 7.091 7.091 7.091 0.000 7.091 7.091 7.091 0.000" Properties=species:S:1:pos:R:3 pbc="T T T"
Pr 3.545 3.545 0.802
Pr 3.545 0.802 3.545
Pr 6.289 3.545 3.545
Pr 7.091 7.091 2.727
Pr 7.091 2.727 7.091
Pr 11.455 7.091 7.091
Pr 8.458 5.724 5.724
Pr 0.802 3.545 3.545
Pr 3.545 6.289 3.545
Pr 3.545 3.545 6.289
Pr 5.724 8.458 5.724
Pr 5.724 5.724 8.458
Pr 8.458 8.458 8.458
Pr 2.727 7.091 7.091
Pr 7.091 11.455 7.091
Pr 7.091 7.091 11.455
In 11.778 9.494 9.494
In 9.494 11.778 9.494
In 9.494 9.494 11.778
In 11.778 11.778 11.778
Os 5.497 5.497 5.497
Os 8.684 8.684 5.497
Os 8.684 5.497 8.684
Os 5.497 8.684 8.684
```


No. 3
Tb5GeSb4: relaxed, GGA-PBE.

Properties
For the raw total energy, the calculation gives -5.467 eV per atom. The uncorrected formation energy comes out at -1.04 eV/atom. The volume is 29.22 A^3/atom. For the spin magnetization, the calculation gives 0.00 μB per cell. The calculation puts the energy relative to the lowest polymorph listed for this composition at 0.00 eV/f.u.

The structure in extended XYZ format:
```
10
Lattice="-4.868 4.868 3.083 4.868 -4.868 3.083 4.868 4.868 -3.083" Properties=species:S:1:pos:R:3 pbc="T T T"
Tb 0.000 0.000 0.000
Tb 5.826 2.053 0.000
Tb 2.053 3.909 0.000
Tb 2.814 0.959 3.083
Tb -0.959 2.814 3.083
Ge 0.000 0.000 3.083
Sb 2.944 0.929 0.000
Sb 3.938 -1.924 3.083
Sb 0.929 6.791 0.000
Sb 1.924 3.938 3.083
```


Question: Number 3 is which compound?
Answer: Tb5GeSb4